# 1
DFT (PBE) results for Ba2CaTl6 after structural relaxation.

Computed properties:
energy of formation: -0.31 eV/atom

```
Ba2CaTl6
1.0
-1.5016 -6.1833 -2.4756
2.4344 -3.0167 6.0582
-6.9159 1.8978 -0.5453
Tl Ba Ca
6 2 1
Cartesian
-5.4637 -0.0239 0.2453
-3.6594 -6.4167 2.5446
-4.3584 -1.3935 2.9958
-0.5194 -7.2783 2.7922
-1.6247 -5.9087 0.0416
-2.3237 -0.8855 0.4928
-1.1855 -3.4502 3.0277
-4.7976 -3.8520 0.0098
-0.7508 -3.0917 -1.2378
```

---

# 2
DFT (PBE) results for DyZrIr2 after structural relaxation.

Computed properties:
E above lowest polymorph: 0 meV/atom
energy of formation: -0.82 eV/atom

```
DyZrIr2
1.0
3.3433 0.0000 0.0000
0.0000 3.3433 0.0000
0.0000 0.0000 6.8872
Ir Zr Dy
2 1 1
Cartesian
0.0000 0.0000 1.5703
0.0000 0.0000 5.3170
1.6716 1.6716 0.0000
1.6716 1.6716 3.4436
```

---

# 3
DFT (PBE) results for Ti2SiF2 after structural relaxation.

Computed properties:
E above lowest polymorph: 604 meV/atom
ΔE_f (raw): -1.16 eV/atom

```
Ti2SiF2
1.0
6.9960 0.0000 0.0000
0.0000 6.9960 0.0000
0.0000 0.0000 2.6405
F Si Ti
4 2 4
Cartesian
0.8239 4.3219 1.3202
6.1721 2.6741 1.3202
4.3219 6.1721 1.3202
2.6741 0.8239 1.3202
3.4980 3.4980 0.0000
0.0000 0.0000 0.0000
2.1906 5.6886 0.0000
1.3074 2.1906 0.0000
4.8054 1.3074 0.0000
5.6886 4.8054 0.0000
```

---

# 4
DFT (PBE) results for Na2TlPb3 after structural relaxation.

Computed properties:
E above lowest polymorph: 6 meV/atom
energy of formation: -0.08 eV/atom

```
Na2TlPb3
1.0
-3.1705 -5.7211 0.5370
4.5321 -2.0955 -4.2592
4.7579 -0.5188 7.2490
Na Pb Tl
4 6 2
Cartesian
5.7559 -4.2929 1.0015
-0.4901 -5.8538 -0.2151
0.3636 -4.0424 2.5253
6.6096 -2.4816 3.7419
3.6453 -4.5817 3.9518
1.7183 -5.5440 -3.1495
2.7676 -6.4292 1.3029
2.4742 -3.7537 -0.4249
3.3519 -1.9061 2.2239
4.4012 -2.7914 6.6764
5.0297 -2.5508 -2.0161
1.0898 -5.7845 5.5430
```